## Tb2CeHo3Er6 (PBE)

Data for crystalline Tb2CeHo3Er6 at its relaxed geometry.

```
data_Tb2CeHo3Er6
_chemical_formula_sum 'Tb4 Ce2 Ho6 Er12'
_cell_length_a 6.104
_cell_length_b 10.567
_cell_length_c 11.660
_cell_angle_alpha 90.00
_cell_angle_beta 100.04
_cell_angle_gamma 90.00
_symmetry_space_group_name_H-M 'C 1 2/m 1'
_symmetry_Int_Tables_number 12
_symmetry_space_group_name_Hall '-C 2y'
loop_
_atom_site_label
_atom_site_fract_x
_atom_site_fract_y
_atom_site_fract_z
_atom_site_occupancy
Tb1 0.000 0.167 0.000 1
Ce1 0.000 0.500 0.000 1
Ho1 0.000 0.000 0.500 1
Ho2 0.000 0.333 0.500 1
Er1 0.247 0.500 0.749 1
Er2 0.249 0.334 0.251 1
```

Output
Volume, Å³ per cell: 741
Formation enthalpy at 0 K, eV per atom: 0.0369

## TbCeHoEr (PBE)

Data for crystalline TbCeHoEr at its relaxed geometry.

```
data_TbCeHoEr
_chemical_formula_sum 'Tb4 Ce4 Ho4 Er4'
_cell_length_a 7.967
_cell_length_b 7.967
_cell_length_c 7.967
_cell_angle_alpha 90.00
_cell_angle_beta 90.00
_cell_angle_gamma 90.00
_symmetry_space_group_name_H-M 'F -4 3 m'
_symmetry_Int_Tables_number 216
_symmetry_space_group_name_Hall 'F -4 2 3'
loop_
_atom_site_label
_atom_site_fract_x
_atom_site_fract_y
_atom_site_fract_z
_atom_site_occupancy
Tb1 0.000 0.000 0.000 1
Ce1 0.000 0.000 0.500 1
Ho1 0.250 0.250 0.250 1
Er1 0.250 0.250 0.750 1
```

Output
Volume, Å³ per cell: 506
Formation enthalpy at 0 K, eV per atom: 0.1633